{"formula": "RbMoF6", "functional": "GGA+U", "state": "relaxed", "cell": [[5.676, 0.000, 0.000], [2.838, 4.916, 0.000], [2.838, 1.639, 5.345]], "species": ["Rb", "Mo", "F", "F", "F", "F", "F", "F"], "frac_coords": [[0.500, 0.500, 0.500], [0.000, 0.000, 0.000], [0.913, 0.913, 0.787], [0.387, 0.913, 0.787], [0.087, 0.613, 0.213], [0.613, 0.087, 0.213], [0.087, 0.087, 0.213], [0.913, 0.387, 0.787]], "de_polymorph_ev_per_fu": 0.75}